Entry 1:
InAs2P | PBE | relaxed

energy above the lowest structure with this stoichiometry = 355 meV/atom
DFT formation energy = 0.3704 eV per atom
total DFT energy (no corrections) = -3.99 eV/atom
V = 21.2 Å³/atom

Cell lengths 3.552, 3.552, 6.731 Å; angles 90.00, 90.00, 90.00 degrees
Space group P4/mmm (No. 123)
Inequivalent atoms, fractional coordinates:
In: 0.000 0.000 0.000 [1 per cell]
As: 0.500 0.500 0.313 [2 per cell]
P: 0.000 0.000 0.500 [1 per cell]



Entry 2:
Sm2YHo2 | PBE | relaxed

energy above the lowest structure with this stoichiometry = 0 meV/atom
DFT formation energy = 0.0424 eV per atom
total DFT energy (no corrections) = -4.97 eV/atom
V = 32.4 Å³/atom

Cell lengths 7.055, 5.636, 16.312 Å; angles 90.00, 90.00, 90.00 degrees
Space group Pnma (No. 62)
Inequivalent atoms, fractional coordinates:
Sm: 0.124 0.250 0.150 [4 per cell]
Sm: 0.126 0.250 0.750 [4 per cell]
Y: 0.125 0.750 0.462 [4 per cell]
Ho: 0.124 0.250 0.347 [4 per cell]
Ho: 0.125 0.750 0.037 [4 per cell]



Entry 3:
Ba2MnAs2 | PBE | relaxed

DFT formation energy = -0.8248 eV per atom
total DFT energy (no corrections) = -5.29 eV/atom
V = 31.6 Å³/atom

Cell lengths 7.057, 13.602, 6.578 Å; angles 90.00, 90.00, 90.00 degrees
Space group Ibam (No. 72)
Inequivalent atoms, fractional coordinates:
Ba: 0.187 0.142 0.000 [8 per cell]
Mn: 0.000 0.500 0.250 [4 per cell]
As: 0.200 0.393 0.000 [8 per cell]



The lowest DFT formation energy belongs to which entry?
Ba2MnAs2